1.
Hf3NbTc PBE relaxed; calculated total energy = -43.20 eV per cell; energy above the lowest structure with this stoichiometry = 1571.5 meV/atom
1.0
4.9209 0.0000 0.0000
0.0000 4.9209 0.0000
0.0000 0.0000 4.9209
Hf Nb Tc
3 1 1
direct
0.0000 0.0000 0.5000 Hf
0.0000 0.5000 0.0000 Hf
0.5000 0.0000 0.0000 Hf
0.0000 0.0000 0.0000 Nb
0.5000 0.5000 0.5000 Tc

2.
Re2PbO7 PBE relaxed; calculated total energy = -77.79 eV per cell; E_form (uncorrected) = -1.448 eV/atom
1.0
3.1414 -5.0602 0.0000
3.1414 5.0602 0.0000
0.0000 0.0000 3.8079
Re Pb O
2 1 7
direct
0.1900 0.8100 0.0000 Re
0.8100 0.1900 0.0000 Re
0.5000 0.5000 0.5000 Pb
0.0000 0.0000 0.0000 O
0.1701 0.4614 0.0000 O
0.1934 0.8066 0.5000 O
0.4614 0.1701 0.0000 O
0.5386 0.8299 0.0000 O
0.8066 0.1934 0.5000 O
0.8299 0.5386 0.0000 O

3.
Cu2TeAs PBE relaxed; calculated total energy = -14.42 eV per cell; energy above the lowest structure with this stoichiometry = 333.2 meV/atom; E_form (uncorrected) = 0.392 eV/atom
1.0
0.0000 3.2916 3.2916
3.2916 0.0000 3.2916
3.2916 3.2916 0.0000
Cu Te As
2 1 1
direct
0.2500 0.2500 0.2500 Cu
0.7500 0.7500 0.7500 Cu
0.0000 0.0000 0.0000 Te
0.5000 0.5000 0.5000 As

4.
Na3HoTh3Se8 PBE relaxed; calculated total energy = -82.27 eV per cell; E_form (uncorrected) = -1.573 eV/atom
1.0
4.1808 2.4138 7.1454
-4.1808 2.4138 7.1454
0.0000 -4.8276 7.1454
Na Ho Th Se
3 1 3 8
direct
0.0000 0.5000 0.5000 Na
0.5000 0.0000 0.5000 Na
0.5000 0.5000 0.0000 Na
0.5000 0.5000 0.5000 Ho
0.0000 0.0000 0.5000 Th
0.0000 0.5000 0.0000 Th
0.5000 0.0000 0.0000 Th
0.2485 0.2485 0.2485 Se
0.2502 0.7407 0.7407 Se
0.2593 0.2593 0.7498 Se
0.2593 0.7498 0.2593 Se
0.7407 0.2502 0.7407 Se
0.7407 0.7407 0.2502 Se
0.7498 0.2593 0.2593 Se
0.7515 0.7515 0.7515 Se